1.
DFT (PBE-GGA) results for a relaxed MnHg2Os crystal.

Structure (POSCAR):
```
MnHg2Os
1.0
2.870 0.000 0.000
0.000 4.860 0.000
-0.266 0.000 5.130
Mn Hg Os
1 2 1
Direct
0.000 0.000 0.000
0.254 0.500 0.750
0.746 0.500 0.250
0.500 0.000 0.500
```

Properties
Space-group type ... P2/m
DFT formation energy ... 0.75 eV/atom
M_tot ... 3.62 Bohr magnetons per cell



2.
DFT (PBE-GGA) results for a relaxed Ac2InSn3Pd6 crystal.

Structure (POSCAR):
```
Ac2InSn3Pd6
1.0
4.275 0.000 0.000
0.000 4.275 0.000
0.000 0.000 16.950
Ac In Sn Pd
2 1 3 6
Direct
0.000 0.000 0.198
0.000 0.000 0.802
0.000 0.000 0.500
0.500 0.500 0.000
0.500 0.500 0.309
0.500 0.500 0.691
0.000 0.500 0.401
0.000 0.500 0.599
0.500 0.000 0.401
0.500 0.000 0.599
0.500 0.500 0.151
0.500 0.500 0.849
```

Properties
Space-group type ... P4/mmm
DFT formation energy ... -0.51 eV/atom
M_tot ... 0.00 Bohr magnetons per cell



3.
DFT (PBE-GGA) results for a relaxed Tl2CuSe2 crystal.

Structure (POSCAR):
```
Tl2CuSe2
1.0
-3.722 6.255 2.955
3.722 -6.255 2.955
3.722 6.255 -2.955
Tl Cu Se
4 2 4
Direct
0.138 0.150 0.287
0.362 0.650 0.012
0.638 0.350 0.988
0.862 0.850 0.713
0.250 0.750 0.500
0.750 0.250 0.500
0.108 0.695 0.802
0.392 0.195 0.587
0.608 0.805 0.413
0.892 0.305 0.198
```

Properties
Uncorrected formation energy ... -0.24 eV per atom
Space-group type ... Ibam
M_tot ... 0.00 Bohr magnetons per cell



4.
DFT (PBE-GGA) results for a relaxed K2BaInPb2 crystal.

Structure (POSCAR):
```
K2BaInPb2
1.0
5.227 0.000 0.000
0.000 10.337 0.000
0.000 0.000 8.775
K Ba In Pb
4 2 2 4
Direct
0.000 0.082 0.000
0.000 0.918 0.500
0.500 0.160 0.325
0.500 0.840 0.825
0.500 0.454 0.986
0.500 0.546 0.486
0.000 0.329 0.639
0.000 0.671 0.139
0.000 0.385 0.273
0.000 0.615 0.773
0.500 0.179 0.722
0.500 0.821 0.222
```

Properties
Space-group type ... Pmc2_1
DFT formation energy ... -0.28 eV/atom
M_tot ... 0.00 Bohr magnetons per cell



5.
DFT (PBE-GGA) results for a relaxed CaTm2Si6 crystal.

Structure (POSCAR):
```
CaTm2Si6
1.0
7.149 0.000 0.000
-3.574 6.191 0.000
0.000 0.000 3.881
Ca Tm Si
1 2 6
Direct
0.000 0.000 0.000
0.333 0.667 0.000
0.667 0.333 0.000
0.000 0.336 0.500
0.000 0.664 0.500
0.336 0.000 0.500
0.336 0.336 0.500
0.664 0.000 0.500
0.664 0.664 0.500
```

Properties
Uncorrected formation energy ... -0.40 eV per atom
Space-group type ... P6/mmm
M_tot ... 0.00 Bohr magnetons per cell



6.
DFT (PBE-GGA) results for a relaxed YAs2Se crystal.

Structure (POSCAR):
```
YAs2Se
1.0
3.948 0.000 0.000
0.000 3.948 0.000
0.000 0.000 6.002
Y As Se
1 2 1
Direct
0.000 0.000 0.000
0.000 0.000 0.473
0.500 0.500 0.416
0.500 0.500 0.897
```

Properties
Uncorrected formation energy ... -0.75 eV per atom
Space-group type ... P4mm
M_tot ... 0.00 Bohr magnetons per cell



7.
DFT (PBE-GGA) results for a relaxed YHfTa crystal.

Structure (POSCAR):
```
YHfTa
1.0
5.279 0.000 0.000
0.000 4.962 0.000
-2.506 0.000 5.477
Y Hf Ta
2 2 2
Direct
0.233 0.250 0.010
0.767 0.750 0.990
0.140 0.750 0.622
0.860 0.250 0.378
0.488 0.250 0.620
0.512 0.750 0.380
```

Properties
Space-group type ... P2_1/m
DFT formation energy ... 0.21 eV/atom
M_tot ... 0.00 Bohr magnetons per cell



8.
DFT (PBE-GGA) results for a relaxed Mn3As crystal.

Structure (POSCAR):
```
Mn3As
1.0
2.726 0.000 0.000
0.000 3.694 0.000
-0.016 0.000 5.089
Mn As
3 1
Direct
0.000 0.000 0.000
0.497 0.500 0.756
0.503 0.500 0.244
0.000 0.000 0.500
```

Properties
Space-group type ... P2/m
DFT formation energy ... 0.02 eV/atom
M_tot ... 2.33 Bohr magnetons per cell



9.
DFT (PBE-GGA) results for a relaxed ScHPd2Pb crystal.

Structure (POSCAR):
```
ScHPd2Pb
1.0
4.302 0.000 0.000
0.000 4.302 0.000
0.000 0.000 4.208
Sc H Pd Pb
1 1 2 1
Direct
0.000 0.000 0.000
0.000 0.000 0.500
0.000 0.500 0.500
0.500 0.000 0.500
0.500 0.500 0.000
```

Properties
Electronic total energy ... -25.8 eV for the cell shown
Space-group type ... P4/mmm
M_tot ... 0.00 Bohr magnetons per cell



10.
DFT (PBE-GGA) results for a relaxed RhS2N crystal.

Structure (POSCAR):
```
RhS2N
1.0
3.684 0.000 0.000
-1.842 3.191 0.000
0.000 0.000 16.234
Rh S N
3 6 3
Direct
0.000 0.000 0.000
0.333 0.667 0.667
0.667 0.333 0.333
0.000 0.000 0.404
0.000 0.000 0.596
0.333 0.667 0.070
0.333 0.667 0.263
0.667 0.333 0.737
0.667 0.333 0.930
0.000 0.000 0.500
0.333 0.667 0.167
0.667 0.333 0.833
```

Properties
Uncorrected formation energy ... 0.20 eV per atom
Space-group type ... R-3m
M_tot ... 0.00 Bohr magnetons per cell



11.
DFT (PBE-GGA) results for a relaxed MnRuS2N crystal.

Structure (POSCAR):
```
MnRuS2N
1.0
4.831 0.000 0.000
0.000 4.831 0.000
0.000 0.000 3.640
Mn Ru S N
1 1 2 1
Direct
0.000 0.000 0.000
0.500 0.500 0.500
0.000 0.500 0.500
0.500 0.000 0.500
0.500 0.500 0.000
```

Properties
Uncorrected formation energy ... 0.42 eV per atom
Space-group type ... P4/mmm
M_tot ... 4.11 Bohr magnetons per cell



12.
DFT (PBE-GGA) results for a relaxed K2NpAuO6 crystal.

Structure (POSCAR):
```
K2NpAuO6
1.0
-2.893 2.893 4.939
2.893 -2.893 4.939
2.893 2.893 -4.939
K Np Au O
2 1 1 6
Direct
0.250 0.750 0.500
0.750 0.250 0.500
0.000 0.000 0.000
0.500 0.500 0.000
0.191 0.191 0.000
0.255 0.255 0.511
0.255 0.745 0.000
0.745 0.255 0.000
0.745 0.745 0.489
0.809 0.809 0.000
```

Properties
Uncorrected formation energy ... -1.77 eV per atom
Space-group type ... I4/mmm
M_tot ... 0.00 Bohr magnetons per cell